Density functional theory data (PBE) for a relaxed CrRu2 crystal.

Summary:
Space group: No. 164
ΔE_f (meV per atom): 129
Volume (Å³/cell): 40.0

POSCAR file:
```
CrRu2
1.0
2.680 0.000 0.000
-1.340 2.321 0.000
0.000 0.000 6.438
Cr Ru
1 2
Direct
0.000 0.000 0.000
0.333 0.667 0.320
0.667 0.333 0.680
```

***

Density functional theory data (PBE) for a relaxed Dy2Er8Cd crystal.

Summary:
Space group: No. 12
ΔE_f (meV per atom): -15
Volume (Å³/cell): 331.7

POSCAR file:
```
Dy2Er8Cd
1.0
9.579 -2.746 0.000
9.579 2.746 0.000
-0.570 0.000 6.305
Dy Er Cd
2 8 1
Direct
0.243 0.243 0.333
0.757 0.757 0.667
0.045 0.045 0.265
0.154 0.154 0.804
0.340 0.340 0.876
0.422 0.422 0.401
0.578 0.578 0.599
0.660 0.660 0.124
0.846 0.846 0.196
0.955 0.955 0.735
0.500 0.500 0.000
```

***

Density functional theory data (PBE) for a relaxed KMnIr3 crystal.

Summary:
Space group: No. 221
ΔE_f (meV per atom): 3503
Volume (Å³/cell): 98.4

POSCAR file:
```
KMnIr3
1.0
4.617 0.000 0.000
0.000 4.617 0.000
0.000 0.000 4.617
K Mn Ir
1 1 3
Direct
0.000 0.000 0.000
0.500 0.500 0.500
0.000 0.000 0.500
0.000 0.500 0.000
0.500 0.000 0.000
```

***

Density functional theory data (PBE) for a relaxed ScCF crystal.

Summary:
Space group: No. 2
Uncorrected formation energy (eV/atom): -1.869
Volume (Å³/cell): 87.7

POSCAR file:
```
ScCF
1.0
3.239 0.000 0.000
1.573 3.518 0.000
0.028 0.489 7.694
Sc C F
2 2 2
Direct
0.134 0.227 0.323
0.866 0.773 0.677
0.421 0.661 0.449
0.579 0.339 0.551
0.334 0.831 0.840
0.666 0.169 0.160
```

***

Density functional theory data (PBE) for a relaxed La3TbRu2 crystal.

Summary:
Space group: No. 12
ΔE_f (meV per atom): -219
Volume (Å³/cell): 340.4

POSCAR file:
```
La3TbRu2
1.0
8.435 -2.410 0.000
8.435 2.410 0.000
-1.541 0.000 8.372
La Tb Ru
6 2 4
Direct
0.059 0.059 0.193
0.187 0.187 0.568
0.316 0.316 0.946
0.684 0.684 0.054
0.813 0.813 0.432
0.941 0.941 0.807
0.439 0.439 0.320
0.561 0.561 0.680
0.125 0.125 0.872
0.380 0.380 0.624
0.620 0.620 0.376
0.875 0.875 0.128
```

***

Density functional theory data (PBE) for a relaxed Sb2PbAu crystal.

Summary:
Space group: No. 12
Uncorrected formation energy (eV/atom): -0.054
Volume (Å³/cell): 113.8

POSCAR file:
```
Sb2PbAu
1.0
6.240 -2.139 0.000
6.240 2.139 0.000
-1.327 0.000 4.264
Sb Pb Au
2 1 1
Direct
0.227 0.227 0.196
0.773 0.773 0.804
0.500 0.500 0.500
0.000 0.000 0.000
```

***

Density functional theory data (PBE) for a relaxed Sm3PuRh3 crystal.

Summary:
Space group: No. 12
ΔE_f (meV per atom): -533
Volume (Å³/cell): 335.8

POSCAR file:
```
Sm3PuRh3
1.0
5.319 -4.695 0.000
5.319 4.695 0.000
-1.165 0.000 6.725
Sm Pu Rh
6 2 6
Direct
0.192 0.808 0.000
0.291 0.709 0.500
0.302 0.302 0.990
0.698 0.698 0.010
0.709 0.291 0.500
0.808 0.192 0.000
0.214 0.214 0.447
0.786 0.786 0.553
0.002 0.502 0.259
0.054 0.054 0.710
0.498 0.998 0.741
0.502 0.002 0.259
0.946 0.946 0.290
0.998 0.498 0.741
```

***

Density functional theory data (PBE) for a relaxed Sr3Cd2Hg6Pb crystal.

Summary:
Space group: No. 164
ΔE_f (meV per atom): -257
Volume (Å³/cell): 362.1

POSCAR file:
```
Sr3Cd2Hg6Pb
1.0
6.471 0.000 0.000
-3.236 5.604 0.000
0.000 0.000 9.983
Sr Cd Hg Pb
3 2 6 1
Direct
0.000 0.000 0.000
0.333 0.667 0.611
0.667 0.333 0.389
0.333 0.667 0.968
0.667 0.333 0.032
0.179 0.357 0.255
0.179 0.821 0.255
0.357 0.179 0.745
0.643 0.821 0.255
0.821 0.179 0.745
0.821 0.643 0.745
0.000 0.000 0.500
```

***

Density functional theory data (PBE) for a relaxed Ca2YHPd crystal.

Summary:
Space group: No. 123
Total energy (eV per atom): -4.100
Volume (Å³/cell): 108.9

POSCAR file:
```
Ca2YHPd
1.0
4.524 0.000 0.000
0.000 4.524 0.000
0.000 0.000 5.321
Ca Y H Pd
2 1 1 1
Direct
0.000 0.500 0.000
0.500 0.000 0.000
0.000 0.000 0.500
0.000 0.000 0.000
0.500 0.500 0.500
```

***

Density functional theory data (PBE) for a relaxed LaTbEr2In4 crystal.

Summary:
Space group: No. 166
ΔE_f (meV per atom): -462
Volume (Å³/cell): 219.8

POSCAR file:
```
LaTbEr2In4
1.0
2.685 1.550 8.804
-2.685 1.550 8.804
0.000 -3.100 8.804
La Tb Er In
1 1 2 4
Direct
0.000 0.000 0.000
0.500 0.500 0.500
0.250 0.250 0.250
0.750 0.750 0.750
0.127 0.127 0.127
0.377 0.377 0.377
0.623 0.623 0.623
0.873 0.873 0.873
```

***

Density functional theory data (PBE) for a relaxed LaTlCdAg crystal.

Summary:
Space group: No. 216
ΔE_f (meV per atom): -295
Volume (Å³/cell): 102.3

POSCAR file:
```
LaTlCdAg
1.0
0.000 3.712 3.712
3.712 0.000 3.712
3.712 3.712 0.000
La Tl Cd Ag
1 1 1 1
Direct
0.000 0.000 0.000
0.750 0.750 0.750
0.500 0.500 0.500
0.250 0.250 0.250
```

***

Density functional theory data (PBE) for a relaxed Ti2Be16Pt crystal.

Summary:
Space group: No. 160
ΔE_f (meV per atom): -277
Volume (Å³/cell): 176.9

POSCAR file:
```
Ti2Be16Pt
1.0
3.747 2.163 3.638
-3.747 2.163 3.638
0.000 -4.326 3.638
Ti Be Pt
2 16 1
Direct
0.000 0.000 0.000
0.316 0.316 0.316
0.008 0.008 0.500
0.008 0.500 0.008
0.155 0.664 0.664
0.312 0.312 0.824
0.312 0.824 0.312
0.363 0.659 0.957
0.363 0.957 0.659
0.500 0.008 0.008
0.659 0.363 0.957
0.659 0.957 0.363
0.664 0.155 0.664
0.664 0.664 0.155
0.772 0.772 0.772
0.824 0.312 0.312
0.957 0.363 0.659
0.957 0.659 0.363
0.565 0.565 0.565
```

***

Density functional theory data (PBE) for a relaxed RbIrRu crystal.

Summary:
Space group: No. 62
ΔE_f (meV per atom): 907
Volume (Å³/cell): 391.9

POSCAR file:
```
RbIrRu
1.0
10.778 0.000 0.000
0.000 4.214 0.000
0.000 0.000 8.629
Rb Ir Ru
4 4 4
Direct
0.200 0.250 0.001
0.300 0.750 0.501
0.700 0.250 0.499
0.800 0.750 0.999
0.056 0.250 0.364
0.444 0.750 0.864
0.556 0.250 0.136
0.944 0.750 0.636
0.045 0.250 0.641
0.455 0.750 0.141
0.545 0.250 0.859
0.955 0.750 0.359
```

***

Density functional theory data (PBE) for a relaxed HfAsAuSe2 crystal.

Summary:
Space group: No. 123
Uncorrected formation energy (eV/atom): 0.120
Volume (Å³/cell): 136.3

POSCAR file:
```
HfAsAuSe2
1.0
5.093 0.000 0.000
0.000 5.093 0.000
0.000 0.000 5.256
Hf As Au Se
1 1 1 2
Direct
0.000 0.000 0.000
0.000 0.000 0.500
0.500 0.500 0.500
0.000 0.500 0.000
0.500 0.000 0.000
```

***

Density functional theory data (PBE) for a relaxed CdCo2Si crystal.

Summary:
Space group: No. 119
Uncorrected formation energy (eV/atom): 0.251
Volume (Å³/cell): 53.4

POSCAR file:
```
CdCo2Si
1.0
-1.829 1.829 3.989
1.829 -1.829 3.989
1.829 1.829 -3.989
Cd Co Si
1 2 1
Direct
0.000 0.000 0.000
0.250 0.750 0.500
0.500 0.500 0.000
0.750 0.250 0.500
```

***

Density functional theory data (PBE) for a relaxed Rb3ZnIn4 crystal.

Summary:
Space group: No. 59
ΔE_f (meV per atom): -44
Volume (Å³/cell): 653.7

POSCAR file:
```
Rb3ZnIn4
1.0
6.503 0.000 0.000
0.000 14.828 0.000
0.000 0.000 6.779
Rb Zn In
6 2 8
Direct
0.250 0.008 0.204
0.250 0.492 0.204
0.250 0.750 0.509
0.750 0.250 0.491
0.750 0.508 0.796
0.750 0.992 0.796
0.250 0.250 0.333
0.750 0.750 0.667
0.013 0.750 0.003
0.250 0.142 0.687
0.250 0.358 0.687
0.487 0.750 0.003
0.513 0.250 0.997
0.750 0.642 0.313
0.750 0.858 0.313
0.987 0.250 0.997
```

***

Density functional theory data (PBE) for a relaxed NdTm7Sc4 crystal.

Summary:
Space group: No. 12
ΔE_f (meV per atom): 252
Volume (Å³/cell): 351.3

POSCAR file:
```
NdTm7Sc4
1.0
7.712 -2.842 0.000
7.712 2.842 0.000
-4.992 0.000 8.013
Nd Tm Sc
1 7 4
Direct
0.000 0.000 0.000
0.086 0.086 0.442
0.209 0.209 0.880
0.247 0.247 0.281
0.500 0.500 0.000
0.753 0.753 0.719
0.791 0.791 0.120
0.914 0.914 0.558
0.329 0.329 0.651
0.448 0.448 0.298
0.552 0.552 0.702
0.671 0.671 0.349
```

***

Density functional theory data (PBE) for a relaxed SbOsSN2 crystal.

Summary:
Space group: No. 123
Uncorrected formation energy (eV/atom): 2.018
Volume (Å³/cell): 82.0

POSCAR file:
```
SbOsSN2
1.0
3.916 0.000 0.000
0.000 3.916 0.000
0.000 0.000 5.346
Sb Os S N
1 1 1 2
Direct
0.000 0.000 0.000
0.500 0.500 0.500
0.000 0.000 0.500
0.000 0.500 0.000
0.500 0.000 0.000
```

***

Density functional theory data (PBE) for a relaxed InRuBr2 crystal.

Summary:
Space group: No. 6
Uncorrected formation energy (eV/atom): -0.085
Volume (Å³/cell): 108.2

POSCAR file:
```
InRuBr2
1.0
4.262 0.000 0.000
0.000 3.381 0.000
-1.798 0.000 7.507
In Ru Br
1 1 2
Direct
0.000 0.000 0.000
0.472 0.500 0.936
0.367 0.000 0.681
0.674 0.500 0.270
```

***

Density functional theory data (PBE) for a relaxed ScInS3 crystal.

Summary:
Space group: No. 11
Uncorrected formation energy (eV/atom): -1.186
Volume (Å³/cell): 258.2

POSCAR file:
```
ScInS3
1.0
6.582 0.000 0.000
0.000 3.891 0.000
-1.805 0.000 10.080
Sc In S
2 2 6
Direct
0.006 0.250 0.160
0.994 0.750 0.840
0.482 0.750 0.293
0.518 0.250 0.707
0.161 0.250 0.734
0.216 0.750 0.071
0.309 0.250 0.376
0.691 0.750 0.624
0.784 0.250 0.929
0.839 0.750 0.266
```

***

Density functional theory data (PBE) for a relaxed BeTc2I crystal.

Summary:
Space group: No. 122
Uncorrected formation energy (eV/atom): 0.888
Volume (Å³/cell): 141.7

POSCAR file:
```
BeTc2I
1.0
-2.085 2.085 8.148
2.085 -2.085 8.148
2.085 2.085 -8.148
Be Tc I
2 4 2
Direct
0.000 0.000 0.000
0.750 0.250 0.500
0.042 0.625 0.917
0.375 0.292 0.417
0.708 0.125 0.083
0.875 0.958 0.583
0.250 0.750 0.500
0.500 0.500 0.000
```

***

Density functional theory data (PBE) for a relaxed SmSi2Au4 crystal.

Summary:
Space group: No. 65
Uncorrected formation energy (eV/atom): -0.467
Volume (Å³/cell): 132.5

POSCAR file:
```
SmSi2Au4
1.0
2.194 -6.851 0.000
2.194 6.851 0.000
0.000 0.000 4.408
Sm Si Au
1 2 4
Direct
0.000 0.000 0.000
0.414 0.586 0.500
0.586 0.414 0.500
0.173 0.827 0.500
0.327 0.673 0.000
0.673 0.327 0.000
0.827 0.173 0.500
```

***

Density functional theory data (PBE) for a relaxed YLuPt4 crystal.

Summary:
Space group: No. 216
ΔE_f (meV per atom): -1115
Volume (Å³/cell): 112.5

POSCAR file:
```
YLuPt4
1.0
0.000 3.831 3.831
3.831 0.000 3.831
3.831 3.831 0.000
Y Lu Pt
1 1 4
Direct
0.000 0.000 0.000
0.750 0.750 0.750
0.375 0.375 0.375
0.375 0.375 0.874
0.375 0.874 0.375
0.874 0.375 0.375
```

***

Density functional theory data (PBE) for a relaxed LaHfOs3 crystal.

Summary:
Space group: No. 221
ΔE_f (meV per atom): 1230
Volume (Å³/cell): 115.5

POSCAR file:
```
LaHfOs3
1.0
4.870 0.000 0.000
0.000 4.870 0.000
0.000 0.000 4.870
La Hf Os
1 1 3
Direct
0.000 0.000 0.000
0.500 0.500 0.500
0.000 0.500 0.500
0.500 0.000 0.500
0.500 0.500 0.000
```